Sm6C2I3F: relaxed, PBE.

Values from the calculation:
The value obtained for the spin magnetization is 0.00 μB per formula unit. The space-group type is No. 12. The formation energy without anion corrections comes out at -991 meV per atom. The value obtained for the density is 7.5 g/cm3.

Unit cell a=6.6873 b=6.6873 c=7.9271 alpha=98.09 beta=98.09 gamma=120.07
With the nearest neighbours (Å) after each atom.
Fractional positions:
Sm: 0.0575 0.4073 0.1733  2 C 2.55, 1 F 2.68
I: 0.5000 0.5000 0.5000  6 Sm 3.27-3.38
Sm: 0.4073 0.0575 0.1733  2 C 2.55, 1 F 2.68
I: 0.1667 0.8333 0.5000  6 Sm 3.27-3.37
I: 0.8333 0.1667 0.5000  6 Sm 3.27-3.37
C: 0.6661 0.3339 0.0000  6 Sm 2.54-2.55
C: 0.3339 0.6661 0.0000  6 Sm 2.54-2.55
Sm: 0.5927 0.9425 0.8267  2 C 2.55, 1 F 2.68
F: 0.0000 0.0000 0.0000  6 Sm 2.68
Sm: 0.7085 0.7085 0.1734  2 C 2.54, 1 F 2.68
Sm: 0.2915 0.2915 0.8266  2 C 2.54, 1 F 2.68
Sm: 0.9425 0.5927 0.8267  2 C 2.55, 1 F 2.68